A plane-wave DFT calculation with PBE was carried out for crystalline La2Ge2As at its relaxed geometry.

Results
For the formation energy, the calculation gives -714.2 meV per atom. As for the energy above the most stable polymorph in this dataset: 106 meV per atom. The total magnetization comes out at 0.000 μB/atom.

Cell lengths 8.153, 8.153, 4.419 Å; angles 90.00, 90.00, 90.00 degrees
Space group P4/mbm (No. 127)
Unique sites:
La (0.187, 0.313, 0.000) [4 per cell]
Ge (0.105, 0.605, 0.500) [4 per cell]
As (0.000, 0.000, 0.000) [2 per cell]

=====

A plane-wave DFT calculation with PBE was carried out for crystalline La4Ge2As at its relaxed geometry.

Results
For the formation energy, the calculation gives -551.6 meV per atom. As for the energy above the most stable polymorph in this dataset: 284 meV per atom. The total magnetization comes out at 0.000 μB/atom.

Cell lengths 5.527, 5.527, 16.021 Å; angles 90.00, 90.00, 90.00 degrees
Space group I4/mmm (No. 139)
Unique sites:
La (0.000, 0.000, 0.186) [4 per cell]
La (0.000, 0.500, 0.000) [4 per cell]
Ge (0.000, 0.000, 0.374) [4 per cell]
As (0.000, 0.000, 0.000) [2 per cell]

=====

A plane-wave DFT calculation with PBE was carried out for crystalline La8GeAs5 at its relaxed geometry.

Results
For the formation energy, the calculation gives -1256.0 meV per atom. The total magnetization comes out at 0.000 μB/atom.

Cell lengths 9.247, 9.247, 9.245 Å; angles 90.00, 90.00, 90.00 degrees
Space group I-4 (No. 82)
Unique sites:
La (0.065, 0.320, 0.058) [8 per cell]
La (0.068, 0.183, 0.693) [8 per cell]
Ge (0.000, 0.000, 0.000) [2 per cell]
As (0.000, 0.500, 0.750) [2 per cell]
As (0.126, 0.248, 0.375) [8 per cell]

=====

A plane-wave DFT calculation with PBE was carried out for crystalline La2Ge2As at its relaxed geometry.

Results
For the formation energy, the calculation gives -802.8 meV per atom. As for the energy above the most stable polymorph in this dataset: 18 meV per atom. The total magnetization comes out at 0.000 μB/atom.

Cell lengths 7.535, 7.535, 4.456 Å; angles 90.00, 90.00, 90.00 degrees
Space group P4/mbm (No. 127)
Unique sites:
La (0.178, 0.322, 0.000) [4 per cell]
Ge (0.121, 0.621, 0.500) [4 per cell]
As (0.000, 0.000, 0.500) [2 per cell]

=====

A plane-wave DFT calculation with PBE was carried out for crystalline La6GeAs5 at its relaxed geometry.

Results
For the formation energy, the calculation gives -1402.8 meV per atom. The total magnetization comes out at 0.000 μB/atom.

Cell lengths 7.602, 13.163, 7.576 Å; angles 90.00, 109.55, 90.00 degrees
Space group C2/m (No. 12)
Unique sites:
La (0.247, 0.000, 0.252) [4 per cell]
La (0.248, 0.169, 0.750) [8 per cell]
Ge (0.000, 0.500, 0.000) [2 per cell]
As (0.000, 0.000, 0.500) [2 per cell]
As (0.000, 0.166, 0.000) [4 per cell]
As (0.000, 0.333, 0.500) [4 per cell]

=====

A plane-wave DFT calculation with PBE was carried out for crystalline La5GeAs4 at its relaxed geometry.

Results
For the formation energy, the calculation gives -1373.7 meV per atom. The total magnetization comes out at 0.000 μB/atom.

Cell lengths 9.814, 9.814, 6.188 Å; angles 90.00, 90.00, 90.00 degrees
Space group I4/m (No. 87)
Unique sites:
La (0.000, 0.000, 0.000) [2 per cell]
La (0.102, 0.696, 0.500) [8 per cell]
Ge (0.000, 0.000, 0.500) [2 per cell]
As (0.100, 0.700, 0.000) [8 per cell]

=====

A plane-wave DFT calculation with PBE was carried out for crystalline LaGeAs at its relaxed geometry.

Results
For the formation energy, the calculation gives -776.4 meV per atom. The total magnetization comes out at 0.000 μB/atom.

Cell lengths 11.330, 3.899, 7.112 Å; angles 90.00, 107.74, 90.00 degrees
Space group C2/m (No. 12)
Unique sites:
La (0.164, 0.000, 0.202) [4 per cell]
Ge (0.109, 0.000, 0.621) [4 per cell]
As (0.062, 0.500, 0.831) [4 per cell]

=====

A plane-wave DFT calculation with PBE was carried out for crystalline La8Ge5As at its relaxed geometry.

Results
For the formation energy, the calculation gives -921.0 meV per atom. The total magnetization comes out at 0.000 μB/atom.

Cell lengths 9.355, 9.355, 9.342 Å; angles 90.00, 90.00, 90.00 degrees
Space group I-4 (No. 82)
Unique sites:
La (0.067, 0.183, 0.191) [8 per cell]
La (0.068, 0.316, 0.558) [8 per cell]
Ge (0.000, 0.500, 0.250) [2 per cell]
Ge (0.125, 0.251, 0.875) [8 per cell]
As (0.000, 0.000, 0.500) [2 per cell]

=====

A plane-wave DFT calculation with PBE was carried out for crystalline La4Ge2As at its relaxed geometry.

Results
For the formation energy, the calculation gives -835.2 meV per atom. As for the energy above the most stable polymorph in this dataset: 0 meV per atom. The total magnetization comes out at 0.117 μB/atom.

Cell lengths 9.684, 9.684, 9.647 Å; angles 90.00, 90.00, 90.00 degrees
Space group I4_1/amd (No. 141, origin choice 2)
Unique sites:
La (0.000, 0.061, 0.198) [16 per cell]
Ge (0.000, 0.000, 0.500) [8 per cell]
As (0.000, 0.250, 0.875) [4 per cell]

=====

A plane-wave DFT calculation with PBE was carried out for crystalline La4GeAs2 at its relaxed geometry.

Results
For the formation energy, the calculation gives -1172.3 meV per atom. The total magnetization comes out at 0.000 μB/atom.

Cell lengths 9.273, 9.273, 9.276 Å; angles 90.00, 90.00, 90.00 degrees
Space group I-42d (No. 122)
Unique sites:
La (0.066, 0.181, 0.308) [16 per cell]
Ge (0.000, 0.000, 0.000) [4 per cell]
As (0.126, 0.250, 0.625) [8 per cell]

=====

A plane-wave DFT calculation with PBE was carried out for crystalline La2Ge2As at its relaxed geometry.

Results
For the formation energy, the calculation gives -820.4 meV per atom. As for the energy above the most stable polymorph in this dataset: 0 meV per atom. The total magnetization comes out at 0.000 μB/atom.

Cell lengths 3.891, 3.891, 16.965 Å; angles 90.00, 90.00, 90.00 degrees
Space group I4/mmm (No. 139)
Unique sites:
La (0.000, 0.000, 0.099) [4 per cell]
Ge (0.000, 0.500, 0.250) [4 per cell]
As (0.000, 0.000, 0.500) [2 per cell]

=====

A plane-wave DFT calculation with PBE was carried out for crystalline La4GeAsN at its relaxed geometry.

Results
The total magnetization comes out at 0.000 μB/atom. The total DFT energy (no corrections) is -6.353 eV/atom.

Cell lengths 6.931, 15.936, 6.937 Å; angles 90.00, 90.00, 90.00 degrees
Space group Cmcm (No. 63)
Unique sites:
La (0.000, 0.079, 0.250) [4 per cell]
La (0.000, 0.420, 0.250) [4 per cell]
La (0.250, 0.250, 0.000) [8 per cell]
Ge (0.000, 0.113, 0.750) [4 per cell]
As (0.000, 0.386, 0.750) [4 per cell]
N (0.000, 0.251, 0.250) [4 per cell]